First-principles (PBE) data for a relaxed structure of InFeSe2, as listed in Alexandria via LeMat-Bulk.

```
InFeSe2
1.0
-4.910 0.616 -1.387
-4.625 -2.076 0.842
-3.227 3.170 4.241
Fe In Se
1 1 2
direct
0.442 0.442 0.374 Fe
0.175 0.175 0.378 In
0.017 0.017 0.090 Se
0.867 0.867 0.658 Se
```

Output
Raw formation energy, kJ/mol of formula units: -42
M_tot, μB/cell: 1.66

=====

First-principles (PBE) data for a relaxed structure of InFeSe, as listed in Alexandria via LeMat-Bulk.

```
InFeSe
1.0
-0.048 1.073 3.172
-0.048 -3.283 -0.658
5.914 -0.113 0.127
Fe In Se
1 1 1
direct
0.000 0.000 0.968 Fe
0.333 0.667 0.299 In
0.667 0.333 0.733 Se
```

Output
Offset from the most stable computed form, eV per atom: 0.000
Raw formation energy, kJ/mol of formula units: 8
M_tot, μB/cell: 1.99

=====

First-principles (PBE) data for a relaxed structure of InFeSe2, as listed in Alexandria via LeMat-Bulk.

```
InFeSe2
1.0
-0.743 -3.142 2.291
0.612 -2.397 -3.090
5.377 -0.316 1.311
Fe In Se
1 1 2
direct
0.000 0.000 0.375 Fe
0.500 0.500 0.875 In
0.000 0.000 0.874 Se
0.500 0.500 0.375 Se
```

Output
Raw formation energy, kJ/mol of formula units: -29
M_tot, μB/cell: 3.55

=====

First-principles (PBE) data for a relaxed structure of InFeSe2, as listed in Alexandria via LeMat-Bulk.

```
InFeSe2
1.0
4.861 0.000 0.000
2.430 4.209 0.000
2.430 1.403 3.969
Fe In Se
1 1 2
direct
0.500 0.500 0.500 Fe
0.750 0.750 0.750 In
0.000 0.000 0.000 Se
0.250 0.250 0.250 Se
```

Output
Raw formation energy, kJ/mol of formula units: 200
M_tot, μB/cell: 3.17